VASP calculation (PBE-GGA) on a relaxed structure of La2TlRe.

Geometry as POSCAR:
```
La2TlRe
1.0
-0.1886 -1.2336 5.0135
2.1066 -4.4179 1.6543
4.3088 0.1005 2.8489
La Re Tl
2 1 1
direct
0.0000 0.0000 0.0000
0.2500 0.2500 0.2500
0.5000 0.5000 0.5000
0.7500 0.7500 0.7500
```

Values from the calculation:
Crystal system = cubic
Formation energy from the elements = 0.346 eV/atom